# GGA+U VNiOF2, optimized geometry
data_VNiOF2
_chemical_formula_sum 'V1 Ni1 O1 F2'
_space_group_name_H-M_alt 'P 4/m m m'
_space_group_IT_number 123
_space_group_name_Hall '-P 4 2'
_cell_length_a 4.062
_cell_length_b 4.062
_cell_length_c 3.724
_cell_angle_alpha 90.00
_cell_angle_beta 90.00
_cell_angle_gamma 90.00
loop_
_atom_site_label
_atom_site_fract_x
_atom_site_fract_y
_atom_site_fract_z
V1 0.000 0.000 0.000
Ni1 0.500 0.500 0.500
O1 0.000 0.000 0.500
F1 0.000 0.500 0.000
# Excess energy over the best structure of this formula in the dataset = 0.000 eV/f.u.
# Spin magnetization = 0.29 μB per cell